DFT (meta-GGA SCAN) results for a crystal of FeAg2Br relaxed with PBEsol.

Cell and atoms, written as CIF:
```
data_FeAg2Br
_chemical_formula_sum 'Fe1 Ag2 Br1'
_cell_length_a 3.795
_cell_length_b 3.795
_cell_length_c 5.622
_cell_angle_alpha 109.72
_cell_angle_beta 109.72
_cell_angle_gamma 90.00
_space_group_name_H-M_alt 'P 1'
_space_group_IT_number 1
loop_
_space_group_symop_operation_xyz
'x,y,z'
loop_
_atom_site_label
_atom_site_fract_x
_atom_site_fract_y
_atom_site_fract_z
Ag1 0.750 0.250 0.500
Ag2 0.250 0.750 0.500
Br1 0.500 0.500 0.000
Fe1 0.000 0.000 0.000
```

Output
Fermi-level density of states = 1.09 states/eV/cell
space group = I4/mmm, No. 139
energy above the lowest structure with this stoichiometry = 0 kJ/mol of formula units

DFT (meta-GGA SCAN) results for a crystal of FeAg2Br relaxed with PBEsol.

Cell and atoms, written as CIF:
```
data_FeAg2Br
_chemical_formula_sum 'Fe1 Ag2 Br1'
_cell_length_a 4.656
_cell_length_b 4.656
_cell_length_c 4.656
_cell_angle_alpha 60.00
_cell_angle_beta 60.00
_cell_angle_gamma 60.00
_space_group_name_H-M_alt 'P 1'
_space_group_IT_number 1
loop_
_space_group_symop_operation_xyz
'x,y,z'
loop_
_atom_site_label
_atom_site_fract_x
_atom_site_fract_y
_atom_site_fract_z
Ag1 0.750 0.750 0.750
Ag2 0.250 0.250 0.250
Br1 0.000 0.000 0.000
Fe1 0.500 0.500 0.500
```

Output
Fermi-level density of states = 4.99 states/eV/cell
space group = Fm-3m, No. 225
energy above the lowest structure with this stoichiometry = 76 kJ/mol of formula units

The energy relative to the elements, uncorrected results, record by record, are as follows: 0.48 0.68 eV/atom.